# CsVSb | Alexandria | PBE-GGA | relaxed
data_CsVSb
_space_group_name_H-M_alt 'P 4/n m m'
_space_group_IT_number 129
_cell_length_a 4.130
_cell_length_b 4.130
_cell_length_c 13.449
_cell_angle_alpha 90.00
_cell_angle_beta 90.00
_cell_angle_gamma 90.00
loop_
_space_group_symop_operation_xyz
'x,y,z'
'-x,-y,-z'
'-y+1/2,x,z'
'y+1/2,-x,-z'
'-x+1/2,-y+1/2,z'
'x+1/2,y+1/2,-z'
'y,-x+1/2,z'
'-y,x+1/2,-z'
'x+1/2,-y,-z'
'-x+1/2,y,z'
'-y,-x,-z'
'y,x,z'
'-x,y+1/2,-z'
'x,-y+1/2,z'
'y+1/2,x+1/2,-z'
'-y+1/2,-x+1/2,z'
loop_
_atom_site_label
_atom_site_fract_x
_atom_site_fract_y
_atom_site_fract_z
Cs1 0.250 0.250 0.203
V1 0.250 0.750 0.500
Sb1 0.250 0.250 0.630
# Spin magnetization ... 0.579 μB/f.u.
# Formation energy from raw total energies ... -57.7 meV per atom
# Calculated density ... 4.42 g cm⁻³
# Uncorrected energy ... -4.76 eV/atom